This record from the Alexandria database describes AcNd2SmTl4 after structural relaxation. The functional is GGA-PBE.

a b c (Å): 5.5971 5.5971 9.7132
angles (deg): 73.25 73.25 60.00
Fractional positions:
Ac 0.0000 0.0000 0.0000
Nd 0.7508 0.7508 0.7476
Nd 0.2492 0.2492 0.2524
Sm 0.5000 0.5000 0.5000
Tl 0.3786 0.3786 0.8643
Tl 0.8722 0.8722 0.3834
Tl 0.1278 0.1278 0.6166
Tl 0.6214 0.6214 0.1357

* uncorrected energy: -0.1409 Ha/atom